No. 1
Rb2HfCdRe: relaxed, PBE.

The calculation puts the density of states at the Fermi level at 7.6 states/eV per cell. The formation energy comes out at 2082 meV per atom. As for the calculated volume: 209.7 Å³ per cell. As for the crystal system: tetragonal.

Cell and atoms, written as extended XYZ:
```
5
Lattice="-4.063 4.409 -1.663 -3.434 -3.817 -1.729 -2.579 -0.242 5.657" Properties=species:S:1:pos:R:3 pbc="T T T"
Cd 0.000 0.000 0.000
Re -1.717 -1.909 -0.864
Hf -5.038 0.175 1.132
Rb -2.031 2.204 -0.832
Rb -1.289 -0.121 2.828
```

No. 2
Rb2HfCdSe4: relaxed, PBE.

The calculation puts the density of states at the Fermi level at 0.0 states/eV per cell. Its energy relative to the elements, uncorrected is -1.15 eV per atom. As for the calculated volume: 584.5 Å³ per cell. As for the crystal system: orthorhombic.

Cell and atoms, written as extended XYZ:
```
16
Lattice="-2.815 -4.914 -2.950 -3.752 -4.980 4.965 -11.912 4.274 -2.662" Properties=species:S:1:pos:R:3 pbc="T T T"
Se -8.588 -4.195 1.068
Hf 0.000 0.000 0.000
Se -11.844 1.869 -1.883
Se -3.843 -3.543 -1.091
Se -12.260 -4.916 -0.551
Se -16.163 -4.743 -1.157
Se -6.100 -0.496 0.029
Hf -9.943 -4.039 -1.061
Rb -8.119 1.844 -2.234
Se -5.108 -4.824 2.836
Rb -6.608 -2.484 -3.379
Cd -8.536 -1.582 0.414
Cd -1.408 -2.457 -1.475
Se -10.011 -1.634 -1.841
Rb -13.736 -1.609 -1.490
Rb -6.151 -6.469 -0.633
```

No. 3
RbHf2CdTc: relaxed, PBE.

The calculation puts the density of states at the Fermi level at 10.7 states/eV per cell. The formation energy comes out at 1785 meV per atom. As for the calculated volume: 145.9 Å³ per cell. As for the crystal system: tetragonal.

Cell and atoms, written as extended XYZ:
```
5
Lattice="-4.942 -1.990 -0.427 1.807 -3.893 -2.766 0.753 -2.828 4.472" Properties=species:S:1:pos:R:3 pbc="T T T"
Tc 0.903 -1.946 -1.383
Rb -1.191 -4.356 0.640
Cd 0.000 0.000 0.000
Hf 0.376 -1.414 2.236
Hf -2.471 -0.995 -0.214
```